Record 1
Here is a geometry-optimized PIrW2 structure from Alexandria. Energies are from PBE-GGA.

Values from the calculation:
The value obtained for the energy is -9.807 eV per atom. As for the spin magnetization: 0.0 Bohr magnetons per cell. Its crystal system is tetragonal. The formation energy from the elements is 0.24 eV/atom.

abc: 3.7834 3.7834 8.2738
angles: 90.00 90.00 90.00
With the nearest neighbours (Å) after each atom.
Space group I4/mmm (No. 139)
Asymmetric unit:
P: 0.0000 0.0000 0.0000  4 Ir 2.68, 8 W 2.80
Ir: 0.0000 0.0000 0.5000  4 P 2.68, 8 W 2.80
W: 0.0000 0.5000 0.2500  4 W 2.68, 4 Ir 2.80, 4 P 2.80

Record 2
Here is a geometry-optimized Dy6BiP3S2 structure from Alexandria. Energies are from PBE-GGA.

Values from the calculation:
The value obtained for the energy is -6.278 eV per atom. As for the spin magnetization: 0.0 Bohr magnetons per cell. Its crystal system is monoclinic. Its uncorrected formation energy is -1614 meV/atom.

abc: 17.7194 4.0451 8.1724
angles: 90.00 103.79 90.00
With the nearest neighbours (Å) after each atom.
Space group C2/m (No. 12)
Asymmetric unit:
Dy: 0.0005 0.0000 0.2269  3 P 2.74-2.84, 1 S 2.94, 2 Bi 3.01
Dy: 0.1655 0.5000 0.0892  3 P 2.82-2.85, 3 S 2.84-2.90
Dy: 0.1758 0.5000 0.5817  3 P 2.74-2.86, 2 S 2.93, 1 Bi 3.03
Bi: 0.0000 0.5000 0.5000  6 Dy 3.01-3.03
P: 0.0000 0.5000 0.0000  6 Dy 2.74-2.85
P: 0.1653 0.0000 0.3304  6 Dy 2.74-2.86
S: 0.1698 0.0000 0.8380  6 Dy 2.84-2.94